(1)
Computed, not measured: an optimized crystal structure of BeTcAu2 at the PBE level of DFT.

- D(E_F) (states/eV/cell) = 2.32
- calculated total energy (eV for the cell shown) = -19.377
- E_form (eV per atom) = 0.317

Lattice parameters (Å, degrees): 4.941 4.941 2.708 90.00 90.00 112.49
Atoms (fractional coordinates):
Be 0.500 0.000 0.500
Au 0.500 0.500 0.000
Tc 0.000 0.500 0.500
Au 0.000 0.000 0.000

(2)
Computed, not measured: an optimized crystal structure of Al3CrSn at the PBE level of DFT.

- D(E_F) (states/eV/cell) = 1.82
- ΔE to the lowest computed polymorph (meV per atom) = 0
- calculated total energy (eV for the cell shown) = -22.564
- E_form (eV per atom) = 0.458

Lattice parameters (Å, degrees): 4.728 4.728 4.728 90.00 90.00 90.00
Each line ends with the local moment (μB).
Atoms (fractional coordinates):
Sn 0.500 0.500 0.500  -0.05
Cr 0.000 0.000 0.000  0.72
Al 0.500 0.000 0.000  -0.02
Al 0.000 0.000 0.500  0.01
Al 0.000 0.500 0.000  -0.02

(3)
Computed, not measured: an optimized crystal structure of Pm3Nd3YS8 at the PBE level of DFT.

- D(E_F) (states/eV/cell) = 7.05
- calculated total energy (eV for the cell shown) = -98.915
- formation energy (no corrections) (eV per formula unit) = -30.88

Lattice parameters (Å, degrees): 8.079 8.079 8.067 120.05 90.00 120.00
Atoms (fractional coordinates):
S 0.756 0.512 0.254
S 0.249 0.498 0.247
Pm 0.000 0.000 0.000
S 0.242 0.998 0.254
Nd 0.500 0.500 0.500
S 0.751 0.502 0.753
S 0.244 0.002 0.746
Y 0.000 0.000 0.500
Pm 0.500 0.500 0.000
S 0.756 0.998 0.254
S 0.758 0.002 0.746
S 0.244 0.488 0.746
Pm 0.000 0.500 0.000
Nd 0.500 0.000 0.500
Nd 0.000 0.500 0.500